(1)
{
  "formula": "KMgHg2",
  "functional": "PBE",
  "state": "optimized geometry",
  "formation_energy_ev_per_fu": -0.79,
  "final_energy_ev_per_atom": -1.020,
  "m_tot_mub_per_fu": 0.00,
  "cell": [[3.843, 0.000, 0.000], [0.000, 3.601, 0.013], [0.000, 3.577, 8.193]],
  "species": ["Hg", "Hg", "K", "Mg"],
  "fractional_positions": [[0.000, 0.447, 0.554], [0.000, 0.053, 0.946], [0.500, 0.250, 0.250], [0.500, 0.750, 0.750]]
}

(2)
{
  "formula": "K3Mg7Hg4",
  "functional": "PBE",
  "state": "optimized geometry",
  "formation_energy_ev_per_fu": -1.44,
  "final_energy_ev_per_atom": -1.221,
  "m_tot_mub_per_fu": 0.00,
  "cell": [[4.738, 0.000, 1.195], [1.723, 8.667, 3.160], [0.066, 0.143, 9.725]],
  "species": ["Hg", "Hg", "Hg", "Hg", "Mg", "Mg", "Mg", "Mg", "Mg", "Mg", "Mg", "K", "K", "K"],
  "fractional_positions": [[0.662, 0.459, 0.217], [0.338, 0.541, 0.783], [0.116, 0.099, 0.670], [0.884, 0.901, 0.330], [0.504, 0.793, 0.199], [0.153, 0.617, 0.076], [0.000, 0.000, 0.000], [0.847, 0.383, 0.924], [0.683, 0.154, 0.480], [0.496, 0.207, 0.801], [0.317, 0.846, 0.520], [0.000, 0.500, 0.500], [0.696, 0.808, 0.800], [0.304, 0.192, 0.200]]
}

(3)
{
  "formula": "KMg2Hg",
  "functional": "PBE",
  "state": "optimized geometry",
  "formation_energy_ev_per_fu": 0.25,
  "final_energy_ev_per_atom": -1.085,
  "m_tot_mub_per_fu": 0.00,
  "cell": [[5.455, -0.497, -0.181], [0.509, 5.454, 0.181], [-2.825, -2.667, 3.866]],
  "species": ["Mg", "Mg", "K", "Hg"],
  "fractional_positions": [[0.254, 0.754, 0.500], [0.003, 0.003, 0.000], [0.749, 0.249, 0.500], [0.493, 0.493, 0.000]]
}

(4)
{
  "formula": "KMg3Hg",
  "functional": "PBE",
  "state": "optimized geometry",
  "formation_energy_ev_per_fu": 0.28,
  "polymorph_energy_mev_per_atom": 0,
  "final_energy_ev_per_atom": -1.181,
  "m_tot_mub_per_fu": 0.00,
  "cell": [[5.419, 0.000, 0.000], [0.000, 5.419, 0.000], [0.000, 0.000, 5.419]],
  "species": ["Hg", "Mg", "Mg", "Mg", "K"],
  "fractional_positions": [[0.000, 0.000, 0.000], [0.000, 0.500, 0.000], [0.000, 0.000, 0.500], [0.500, 0.000, 0.000], [0.500, 0.500, 0.500]]
}

(5)
{
  "formula": "KMgHg2",
  "functional": "PBE",
  "state": "optimized geometry",
  "formation_energy_ev_per_fu": -0.32,
  "final_energy_ev_per_atom": -0.903,
  "m_tot_mub_per_fu": 0.00,
  "cell": [[6.534, 0.068, 0.045], [3.074, 5.767, -0.045], [-4.183, -3.941, 3.111]],
  "species": ["Hg", "Hg", "K", "Mg"],
  "fractional_positions": [[0.008, 0.008, 0.000], [0.775, 0.275, 0.500], [0.501, 0.501, 0.000], [0.216, 0.716, 0.500]]
}

(6)
{
  "formula": "KMgHg",
  "functional": "PBE",
  "state": "optimized geometry",
  "formation_energy_ev_per_fu": -0.21,
  "polymorph_energy_mev_per_atom": 106,
  "final_energy_ev_per_atom": -1.069,
  "m_tot_mub_per_fu": 0.00,
  "cell": [[5.165, 0.000, 0.000], [-2.582, 4.473, 0.000], [0.000, 0.000, 4.368]],
  "species": ["Hg", "K", "Mg"],
  "fractional_positions": [[0.000, 0.000, 0.832], [0.667, 0.333, 0.333], [0.333, 0.667, 0.835]]
}

(7)
{
  "formula": "KMgHg",
  "functional": "PBE",
  "state": "optimized geometry",
  "formation_energy_ev_per_fu": 0.75,
  "polymorph_energy_mev_per_atom": 426,
  "final_energy_ev_per_atom": -0.749,
  "m_tot_mub_per_fu": 0.00,
  "cell": [[-1.356, -5.405, 1.064], [3.116, -4.194, -2.210], [3.313, -3.147, 3.362]],
  "species": ["Hg", "K", "Mg"],
  "fractional_positions": [[0.500, 0.500, 0.500], [0.750, 0.750, 0.750], [0.000, 0.000, 0.000]]
}

(8)
{
  "formula": "KMgHg",
  "functional": "PBE",
  "state": "optimized geometry",
  "formation_energy_ev_per_fu": -0.53,
  "polymorph_energy_mev_per_atom": 0,
  "final_energy_ev_per_atom": -1.175,
  "m_tot_mub_per_fu": 0.00,
  "cell": [[4.884, 0.000, 0.000], [0.000, 4.884, 0.000], [0.000, 0.000, 8.332]],
  "species": ["Hg", "Hg", "Mg", "Mg", "K", "K"],
  "fractional_positions": [[0.000, 0.500, 0.305], [0.500, 0.000, 0.695], [0.500, 0.500, 0.500], [0.000, 0.000, 0.500], [0.000, 0.500, 0.855], [0.500, 0.000, 0.145]]
}

(9)
{
  "formula": "KNaMg2Hg",
  "functional": "PBE",
  "state": "optimized geometry",
  "formation_energy_ev_per_fu": 0.06,
  "final_energy_ev_per_atom": -1.169,
  "m_tot_mub_per_fu": 0.00,
  "cell": [[5.396, 0.000, 0.000], [0.000, 5.396, 0.000], [0.000, 0.000, 5.951]],
  "species": ["Mg", "Mg", "Na", "K", "Hg"],
  "fractional_positions": [[0.000, 0.500, 0.000], [0.500, 0.000, 0.000], [0.000, 0.000, 0.500], [0.500, 0.500, 0.500], [0.000, 0.000, 0.000]]
}

(10)
{
  "formula": "KNa2MgHg4",
  "functional": "PBE",
  "state": "optimized geometry",
  "formation_energy_ev_per_fu": -1.63,
  "final_energy_ev_per_atom": -1.021,
  "m_tot_mub_per_fu": 0.00,
  "cell": [[-1.015, 5.069, -1.000], [-3.374, 2.659, 3.044], [5.496, 5.062, 6.223]],
  "species": ["Hg", "Hg", "Hg", "Hg", "Na", "Na", "K", "Mg"],
  "fractional_positions": [[0.605, 0.605, 0.184], [0.395, 0.395, 0.816], [0.130, 0.130, 0.609], [0.870, 0.870, 0.391], [0.757, 0.757, 0.728], [0.243, 0.243, 0.272], [0.000, 0.000, 0.000], [0.500, 0.500, 0.500]]
}

(11)
{
  "formula": "KMgNiHg2",
  "functional": "PBE",
  "state": "optimized geometry",
  "formation_energy_ev_per_fu": -0.43,
  "final_energy_ev_per_atom": -1.901,
  "m_tot_mub_per_fu": 0.00,
  "cell": [[5.178, 0.000, 0.000], [0.000, 5.178, 0.000], [0.000, 0.000, 4.927]],
  "species": ["Hg", "Hg", "Ni", "Mg", "K"],
  "fractional_positions": [[0.500, 0.000, 0.000], [0.000, 0.500, 0.000], [0.000, 0.000, 0.000], [0.000, 0.000, 0.500], [0.500, 0.500, 0.500]]
}

(12)
{
  "formula": "KMg2NiHg",
  "functional": "PBE",
  "state": "optimized geometry",
  "formation_energy_ev_per_fu": -0.13,
  "final_energy_ev_per_atom": -2.099,
  "m_tot_mub_per_fu": 0.00,
  "cell": [[-3.380, 2.951, 2.201], [-3.521, -3.463, -0.766], [1.113, -2.145, 4.584]],
  "species": ["Ni", "Hg", "Mg", "Mg", "K"],
  "fractional_positions": [[0.000, 0.000, 0.000], [0.000, 0.000, 0.500], [0.500, 0.000, 0.000], [0.000, 0.500, 0.000], [0.500, 0.500, 0.500]]
}

(13)
{
  "formula": "K2MgHgP",
  "functional": "PBE",
  "state": "optimized geometry",
  "formation_energy_ev_per_fu": -1.01,
  "final_energy_ev_per_atom": -2.103,
  "m_tot_mub_per_fu": 0.00,
  "cell": [[-0.821, -5.672, 2.922], [-1.125, -2.771, -5.695], [4.721, -0.931, -0.480]],
  "species": ["Hg", "K", "K", "P", "Mg"],
  "fractional_positions": [[0.500, 0.500, 0.500], [0.000, 0.500, 0.000], [0.500, 0.000, 0.000], [0.000, 0.000, 0.000], [0.000, 0.000, 0.500]]
}

(14)
{
  "formula": "KMgHgPb",
  "functional": "PBE",
  "state": "optimized geometry",
  "formation_energy_ev_per_fu": -0.17,
  "final_energy_ev_per_atom": -1.717,
  "m_tot_mub_per_fu": 0.00,
  "cell": [[-4.359, 2.897, 1.560], [-4.330, -2.532, 2.162], [-1.134, 0.582, 5.311]],
  "species": ["Hg", "Mg", "K", "Pb"],
  "fractional_positions": [[0.500, 0.500, 0.500], [0.250, 0.250, 0.250], [0.750, 0.750, 0.750], [0.000, 0.000, 0.000]]
}

(15)
{
  "formula": "K2MgHg6Pb",
  "functional": "PBE",
  "state": "optimized geometry",
  "formation_energy_ev_per_fu": -1.29,
  "final_energy_ev_per_atom": -1.060,
  "m_tot_mub_per_fu": 0.00,
  "cell": [[10.026, 0.252, -0.299], [0.134, 6.290, -0.157], [4.862, 3.268, 5.057]],
  "species": ["Hg", "Hg", "Hg", "Hg", "Hg", "Hg", "Mg", "K", "K", "Pb"],
  "fractional_positions": [[0.724, 0.756, 0.010], [0.590, 0.782, 0.511], [0.228, 0.703, 0.068], [0.276, 0.244, 0.990], [0.772, 0.297, 0.932], [0.410, 0.218, 0.489], [0.500, 0.500, 0.000], [0.797, 0.272, 0.466], [0.203, 0.728, 0.534], [0.000, 0.000, 0.000]]
}

(16)
{
  "formula": "KMgHg2Pb",
  "functional": "PBE",
  "state": "optimized geometry",
  "formation_energy_ev_per_fu": -0.10,
  "final_energy_ev_per_atom": -1.420,
  "m_tot_mub_per_fu": 0.00,
  "cell": [[5.594, 0.000, 0.000], [0.000, 5.594, 0.000], [0.000, 0.000, 5.559]],
  "species": ["K", "Mg", "Pb", "Hg", "Hg"],
  "fractional_positions": [[0.500, 0.500, 0.500], [0.000, 0.000, 0.000], [0.000, 0.000, 0.500], [0.500, 0.000, 0.000], [0.000, 0.500, 0.000]]
}

(17)
{
  "formula": "KMgHgPd2",
  "functional": "PBE",
  "state": "optimized geometry",
  "formation_energy_ev_per_fu": 4.75,
  "final_energy_ev_per_atom": -1.727,
  "m_tot_mub_per_fu": 0.00,
  "cell": [[-3.777, 3.429, -0.262], [-0.246, -0.703, -5.648], [-3.432, -3.733, 0.614]],
  "species": ["K", "Hg", "Pd", "Pd", "Mg"],
  "fractional_positions": [[0.000, 0.000, 0.000], [0.000, 0.500, 0.000], [0.500, 0.000, 0.000], [0.000, 0.000, 0.500], [0.500, 0.500, 0.500]]
}

(18)
{
  "formula": "KMg2HgPd",
  "functional": "PBE",
  "state": "optimized geometry",
  "formation_energy_ev_per_fu": -1.15,
  "final_energy_ev_per_atom": -2.187,
  "m_tot_mub_per_fu": 0.00,
  "cell": [[-1.199, -4.914, 0.762], [4.947, -1.258, -0.331], [0.536, 0.699, 5.350]],
  "species": ["Mg", "Mg", "Hg", "Pd", "K"],
  "fractional_positions": [[0.500, 0.000, 0.000], [0.000, 0.500, 0.000], [0.000, 0.000, 0.500], [0.000, 0.000, 0.000], [0.500, 0.500, 0.500]]
}

(19)
{
  "formula": "KMgHg2Pt",
  "functional": "PBE",
  "state": "optimized geometry",
  "formation_energy_ev_per_fu": -1.56,
  "final_energy_ev_per_atom": -2.180,
  "m_tot_mub_per_fu": 0.00,
  "cell": [[5.388, 0.000, 0.000], [0.000, 5.388, 0.000], [0.000, 0.000, 5.051]],
  "species": ["K", "Mg", "Hg", "Hg", "Pt"],
  "fractional_positions": [[0.500, 0.500, 0.500], [0.000, 0.000, 0.500], [0.500, 0.000, 0.000], [0.000, 0.500, 0.000], [0.000, 0.000, 0.000]]
}

(20)
{
  "formula": "KRbMg2Hg",
  "functional": "PBE",
  "state": "optimized geometry",
  "formation_energy_ev_per_fu": 0.31,
  "final_energy_ev_per_atom": -1.050,
  "m_tot_mub_per_fu": 0.00,
  "cell": [[-0.169, -5.439, -0.967], [2.778, -0.920, 4.689], [-5.680, -0.408, 3.285]],
  "species": ["Mg", "Mg", "Hg", "Rb", "K"],
  "fractional_positions": [[0.500, 0.000, 0.000], [0.000, 0.500, 0.000], [0.000, 0.000, 0.000], [0.500, 0.500, 0.500], [0.000, 0.000, 0.500]]
}